A geometry-optimized ZnTcAu2 structure, computed with GGA-PBE.

Computed properties:
N(E_F) = 0.762 states/eV/atom
space group = Cm
E_tot = -4.370 eV per atom
formation energy = 0.178 eV per atom
spin magnetization = 0.0 μB per formula unit
theoretical density = 14.23 g/cm3
crystal system = monoclinic

Unit cell a=4.914 b=4.914 c=5.142 alpha=99.97 beta=99.97 gamma=32.19
Fractional positions:
Zn: 0.000 0.000 0.000
Tc: 0.263 0.263 0.762
Au: 0.509 0.509 0.526
Au: 0.744 0.744 0.245